[1]
A relaxed structure of La4YTh3P8, computed with GGA-PBE.

Summary:
total energy	-7.329	eV/atom
D(E_F)	4.18	states/eV/cell

abc: 8.367 8.396 8.366
angles: 119.88 120.00 90.00
Positions (direct):
La  0.500  0.000  0.000
La  0.500  0.000  0.500
La  0.000  0.000  0.000
La  0.000  0.000  0.500
Y  0.000  0.500  0.000
Th  0.500  0.500  0.000
Th  0.500  0.500  0.500
Th  0.000  0.500  0.500
P  0.245  0.739  0.993
P  0.245  0.739  0.491
P  0.253  0.260  0.507
P  0.748  0.739  0.993
P  0.252  0.261  0.007
P  0.747  0.740  0.493
P  0.755  0.261  0.509
P  0.755  0.261  0.007

---

[2]
A relaxed structure of LaY3Th2P6, computed with GGA-PBE.

Summary:
total energy	-7.577	eV/atom
D(E_F)	2.18	states/eV/cell

abc: 7.121 7.121 7.066
angles: 99.65 99.65 120.05
Positions (direct):
La  0.000  0.000  0.000
Y  0.165  0.835  0.500
Y  0.835  0.165  0.500
Y  0.500  0.500  0.500
Th  0.333  0.667  0.000
Th  0.667  0.333  0.000
P  0.914  0.575  0.742
P  0.747  0.747  0.258
P  0.086  0.425  0.258
P  0.575  0.914  0.742
P  0.253  0.253  0.742
P  0.425  0.086  0.258

---

no.,theoretical density (g cm⁻³),E_form (meV/atom)
1,6.335,-1596.7
2,6.000,-1608.9